Entry 1:
DFT (PBE-GGA) results for crystalline Ac4PIr2 at its relaxed geometry.

Results
**Calculated volume**: 33.37 A^3/atom
**VASP energy**: -89.25 eV per cell
**Space-group type**: No. 43
**ΔE_f**: -0.72 eV per atom

Cell and atoms, written as POSCAR:
```
Ac4PIr2
1.0
0.0000 7.4794 4.3791
7.1309 0.0000 4.3791
7.1309 7.4794 0.0000
Ac P Ir
8 2 4
direct
0.1788 0.2757 0.9896 Ac
0.2210 0.7790 0.4508 Ac
0.2604 0.6941 0.0712 Ac
0.2757 0.1788 0.5559 Ac
0.6941 0.2604 0.9743 Ac
0.7008 0.7992 0.4710 Ac
0.7790 0.2210 0.5492 Ac
0.7992 0.7008 0.0290 Ac
0.2331 0.2331 0.2669 P
0.9831 0.9831 0.0169 P
0.2518 0.7253 0.7438 Ir
0.5062 0.9709 0.9982 Ir
0.7253 0.2518 0.2791 Ir
0.9709 0.5062 0.5247 Ir
```

Entry 2:
DFT (PBE-GGA) results for crystalline LiMoPt2 at its relaxed geometry.

Results
**Calculated volume**: 14.29 A^3/atom
**VASP energy**: -26.61 eV per cell
**Space-group type**: No. 123
**ΔE_f**: -0.45 eV per atom
**E above lowest polymorph**: 0.000 eV/atom

Cell and atoms, written as POSCAR:
```
LiMoPt2
1.0
2.8366 0.0000 0.0000
0.0000 2.8366 0.0000
0.0000 0.0000 7.1049
Li Mo Pt
1 1 2
direct
0.0000 0.0000 0.0000 Li
0.0000 0.0000 0.5000 Mo
0.5000 0.5000 0.2353 Pt
0.5000 0.5000 0.7647 Pt
```

Entry 3:
DFT (PBE-GGA) results for crystalline Ac2MgGe3Pd4 at its relaxed geometry.

Results
**Calculated volume**: 20.98 A^3/atom
**VASP energy**: -52.60 eV per cell
**Space-group type**: No. 115
**ΔE_f**: -0.82 eV per atom

Cell and atoms, written as POSCAR:
```
Ac2MgGe3Pd4
1.0
4.4550 0.0000 0.0000
0.0000 4.4550 0.0000
0.0000 0.0000 10.5683
Ac Mg Ge Pd
2 1 3 4
direct
0.0000 0.5000 0.2438 Ac
0.5000 0.0000 0.7562 Ac
0.0000 0.0000 0.5000 Mg
0.0000 0.5000 0.8762 Ge
0.5000 0.0000 0.1238 Ge
0.5000 0.5000 0.5000 Ge
0.0000 0.0000 0.0000 Pd
0.0000 0.5000 0.6354 Pd
0.5000 0.0000 0.3646 Pd
0.5000 0.5000 0.0000 Pd
```

Entry 4:
DFT (PBE-GGA) results for crystalline SrLiGeIr at its relaxed geometry.

Results
**Calculated volume**: 25.79 A^3/atom
**VASP energy**: -37.26 eV per cell
**Space-group type**: No. 129
**ΔE_f**: -0.39 eV per atom

Cell and atoms, written as POSCAR:
```
SrLiGeIr
1.0
4.1851 0.0000 0.0000
0.0000 4.1851 0.0000
0.0000 0.0000 11.7794
Sr Li Ge Ir
2 2 2 2
direct
0.2500 0.2500 0.2273 Sr
0.7500 0.7500 0.7727 Sr
0.2500 0.7500 0.5000 Li
0.7500 0.2500 0.5000 Li
0.2500 0.2500 0.8845 Ge
0.7500 0.7500 0.1155 Ge
0.2500 0.7500 0.0000 Ir
0.7500 0.2500 0.0000 Ir
```

Question: Number 3 is which compound?
Answer: Ac2MgGe3Pd4